Entry 1:
Material: MgGa3Cu
Method: DFT, GGA-PBE
State: relaxed

```
data_MgGa3Cu
_chemical_formula_sum 'Mg2 Ga6 Cu2'
_cell_length_a 3.0027
_cell_length_b 8.0736
_cell_length_c 7.5576
_cell_angle_alpha 90.00
_cell_angle_beta 90.00
_cell_angle_gamma 90.00
_space_group_name_H-M_alt 'P m m n'
_space_group_IT_number 59
loop_
_space_group_symop_operation_xyz
'x,y,z'
'-x,-y,-z'
'-x+1/2,-y+1/2,z'
'x+1/2,y+1/2,-z'
'x+1/2,-y,-z'
'-x+1/2,y,z'
'-x,y+1/2,-z'
'x,-y+1/2,z'
loop_
_atom_site_label
_atom_site_type_symbol
_atom_site_fract_x
_atom_site_fract_y
_atom_site_fract_z
Mg1 Mg 0.2500 0.2500 0.1057
Ga1 Ga 0.2500 0.5310 0.6664
Ga2 Ga 0.2500 0.7500 0.2161
Cu1 Cu 0.2500 0.2500 0.4994
```

Values from the calculation:
Relative energy among the computed polymorphs ... 23 meV per atom
Total magnetization ... 0.000 μB per atom

=====

Entry 2:
Material: Sr3Ac2ThTe6
Method: DFT, GGA-PBE
State: relaxed

```
data_Sr3Ac2ThTe6
_chemical_formula_sum 'Sr6 Ac4 Th2 Te12'
_cell_length_a 20.6080
_cell_length_b 4.6186
_cell_length_c 9.4822
_cell_angle_alpha 90.00
_cell_angle_beta 105.44
_cell_angle_gamma 90.00
_space_group_name_H-M_alt 'C 1 2/m 1'
_space_group_IT_number 12
_space_group_name_Hall '-C 2y'
loop_
_atom_site_label
_atom_site_type_symbol
_atom_site_fract_x
_atom_site_fract_y
_atom_site_fract_z
Sr1 Sr 0.0000 0.0000 0.0000
Sr2 Sr 0.1693 0.5000 0.3307
Ac1 Ac 0.1605 0.5000 0.8204
Th1 Th 0.0000 0.0000 0.5000
Te1 Te 0.0052 0.5000 0.2602
Te2 Te 0.1634 0.0000 0.5716
Te3 Te 0.1681 0.0000 0.0813
```

Values from the calculation:
Raw formation energy ... -1.4844 eV per atom
Total magnetization ... 0.000 μB per atom

=====

total magnetization of number 2 (Sr3Ac2ThTe6)?
0.000 μB per atom